VASP calculation (SCAN) on a PBEsol-optimized structure of Pt2RhBr.

Properties
volume	15.8	A^3/atom
ΔE_f (raw)	0.620	eV/atom

a b c (Å): 2.7956 4.6385 4.8597
angles (deg): 90.00 90.00 90.00
Fractional coordinates of all 4 atoms:
Pt 0.0000 0.0000 0.0000
Pt 0.5000 0.5000 0.0000
Rh 0.0000 0.5000 0.5000
Br 0.5000 0.0000 0.5000